[1]
This record from Alexandria via LeMat-Bulk describes a relaxed BaSbPI2 crystal. The functional is GGA-PBEsol.

a b c (Å): 5.5237 5.5237 5.3862
angles (deg): 90.00 90.00 90.00
Closest atoms and distances in Å follow each position.
Fractional coordinates of all 5 atoms:
I 0.0000 0.5000 0.0000  2 P 2.76
I 0.5000 0.0000 0.0000  2 P 2.76
Sb 0.0000 0.0000 0.5000  2 P 2.69
Ba 0.5000 0.5000 0.5000  8 I 3.86, 4 Sb 3.91
P 0.0000 0.0000 0.0000  2 Sb 2.69, 4 I 2.76

- symmetry = P4/mmm
- total magnetic moment (μB/f.u.) = 0.00
- crystal system = tetragonal
- density (g cm⁻³) = 5.5
- E_form (uncorrected) (eV/atom) = -0.42



[2]
This record from Alexandria via LeMat-Bulk describes a relaxed BaSnP2I crystal. The functional is GGA-PBEsol.

a b c (Å): 4.9856 4.9856 6.9190
angles (deg): 90.00 90.00 90.00
Closest atoms and distances in Å follow each position.
Fractional coordinates of all 5 atoms:
I 0.5000 0.5000 0.5000  4 Ba 3.53
P 0.0000 0.5000 0.0000  2 Sn 2.49
P 0.5000 0.0000 0.0000  2 Sn 2.49
Ba 0.0000 0.0000 0.5000  2 Sn 3.46, 4 I 3.53
Sn 0.0000 0.0000 0.0000  4 P 2.49

- symmetry = P4/mmm
- total magnetic moment (μB/f.u.) = 0.00
- crystal system = tetragonal
- density (g cm⁻³) = 4.3
- E_form (uncorrected) (eV/atom) = 0.01



[3]
This record from Alexandria via LeMat-Bulk describes a relaxed Ba2TcPI crystal. The functional is GGA-PBEsol.

a b c (Å): 4.8833 6.3392 6.3392
angles (deg): 90.00 90.00 90.00
Closest atoms and distances in Å follow each position.
Fractional coordinates of all 5 atoms:
I 0.0000 0.0000 0.0000  2 Tc 2.44
P 0.5000 0.5000 0.5000  8 Ba 4.00
Ba 0.0000 0.0000 0.5000  2 I 3.17
Ba 0.0000 0.5000 0.0000  2 I 3.17
Tc 0.5000 0.0000 0.0000  2 I 2.44

- symmetry = P4/mmm
- total magnetic moment (μB/f.u.) = 3.00
- crystal system = tetragonal
- density (g cm⁻³) = 4.5
- E_form (uncorrected) (eV/atom) = 0.57



[4]
This record from Alexandria via LeMat-Bulk describes a relaxed Ba3PbI crystal. The functional is GGA-PBEsol.

a b c (Å): 6.6680 6.6680 6.6680
angles (deg): 90.00 90.00 90.00
Closest atoms and distances in Å follow each position.
Fractional coordinates of all 5 atoms:
Pb 0.0000 0.0000 0.0000  6 Ba 3.33
I 0.5000 0.5000 0.5000  12 Ba 4.71
Ba 0.0000 0.5000 0.0000  2 Pb 3.33
Ba 0.0000 0.0000 0.5000  2 Pb 3.33
Ba 0.5000 0.0000 0.0000  2 Pb 3.33

- symmetry = Pm-3m
- total magnetic moment (μB/f.u.) = 0.00
- crystal system = cubic
- density (g cm⁻³) = 4.2
- E_form (uncorrected) (eV/atom) = -0.46



[5]
This record from Alexandria via LeMat-Bulk describes a relaxed Ba2TcPbI crystal. The functional is GGA-PBEsol.

a b c (Å): 5.1974 5.8550 5.8550
angles (deg): 90.00 90.00 90.00
Closest atoms and distances in Å follow each position.
Fractional coordinates of all 5 atoms:
Pb 0.5000 0.0000 0.0000  2 Tc 2.60
I 0.5000 0.5000 0.5000  8 Ba 3.91, 4 Pb 4.14
Ba 0.0000 0.0000 0.5000  2 Tc 2.93
Ba 0.0000 0.5000 0.0000  2 Tc 2.93
Tc 0.0000 0.0000 0.0000  2 Pb 2.60

- symmetry = P4/mmm
- total magnetic moment (μB/f.u.) = 0.00
- crystal system = tetragonal
- density (g cm⁻³) = 6.6
- E_form (uncorrected) (eV/atom) = -0.20



[6]
This record from Alexandria via LeMat-Bulk describes a relaxed BaTe2PbI crystal. The functional is GGA-PBEsol.

a b c (Å): 5.8357 5.8357 5.9977
angles (deg): 90.00 90.00 90.00
Closest atoms and distances in Å follow each position.
Fractional coordinates of all 5 atoms:
Pb 0.0000 0.0000 0.0000  4 Te 2.92, 2 I 3.00
I 0.0000 0.0000 0.5000  2 Pb 3.00
Te 0.0000 0.5000 0.0000  2 Pb 2.92
Te 0.5000 0.0000 0.0000  2 Pb 2.92
Ba 0.5000 0.5000 0.5000  4 I 4.13, 8 Te 4.18

- symmetry = P4/mmm
- total magnetic moment (μB/f.u.) = 0.00
- crystal system = tetragonal
- density (g cm⁻³) = 5.9
- E_form (uncorrected) (eV/atom) = -0.63



[7]
This record from Alexandria via LeMat-Bulk describes a relaxed Ba3PtI crystal. The functional is GGA-PBEsol.

a b c (Å): 6.1396 6.1396 6.1396
angles (deg): 90.00 90.00 90.00
Closest atoms and distances in Å follow each position.
Fractional coordinates of all 5 atoms:
I 0.5000 0.5000 0.5000  12 Ba 4.34
Ba 0.0000 0.5000 0.0000  2 Pt 3.07
Ba 0.0000 0.0000 0.5000  2 Pt 3.07
Ba 0.5000 0.0000 0.0000  2 Pt 3.07
Pt 0.0000 0.0000 0.0000  6 Ba 3.07

- symmetry = Pm-3m
- total magnetic moment (μB/f.u.) = 0.00
- crystal system = cubic
- density (g cm⁻³) = 5.3
- E_form (uncorrected) (eV/atom) = -0.65



[8]
This record from Alexandria via LeMat-Bulk describes a relaxed Ba2ReSnI crystal. The functional is GGA-PBEsol.

a b c (Å): 5.8563 6.5383 6.5383
angles (deg): 90.00 90.00 90.00
Closest atoms and distances in Å follow each position.
Fractional coordinates of all 5 atoms:
I 0.5000 0.0000 0.0000  2 Sn 2.93
Re 0.5000 0.5000 0.5000  8 Ba 4.39, 4 I 4.62
Ba 0.0000 0.0000 0.5000  2 Sn 3.27
Ba 0.0000 0.5000 0.0000  2 Sn 3.27
Sn 0.0000 0.0000 0.0000  2 I 2.93, 4 Ba 3.27

- symmetry = P4/mmm
- total magnetic moment (μB/f.u.) = 4.01
- crystal system = tetragonal
- density (g cm⁻³) = 4.7
- E_form (uncorrected) (eV/atom) = 1.24



[9]
This record from Alexandria via LeMat-Bulk describes a relaxed Ba2TiRhI crystal. The functional is GGA-PBEsol.

a b c (Å): 4.6017 6.2128 6.2128
angles (deg): 90.00 90.00 90.00
Closest atoms and distances in Å follow each position.
Fractional coordinates of all 5 atoms:
I 0.5000 0.5000 0.5000  8 Ba 3.87
Rh 0.0000 0.0000 0.0000  2 Ti 2.30
Ba 0.0000 0.0000 0.5000  2 Rh 3.11
Ba 0.0000 0.5000 0.0000  2 Rh 3.11
Ti 0.5000 0.0000 0.0000  2 Rh 2.30

- symmetry = P4/mmm
- total magnetic moment (μB/f.u.) = 2.01
- crystal system = tetragonal
- density (g cm⁻³) = 5.2
- E_form (uncorrected) (eV/atom) = -0.28



[10]
This record from Alexandria via LeMat-Bulk describes a relaxed BaRuI3 crystal. The functional is GGA-PBEsol.

a b c (Å): 5.3777 5.3777 5.3777
angles (deg): 90.00 90.00 90.00
Closest atoms and distances in Å follow each position.
Fractional coordinates of all 5 atoms:
I 0.0000 0.5000 0.0000  2 Ru 2.69
I 0.0000 0.0000 0.5000  2 Ru 2.69
I 0.5000 0.0000 0.0000  2 Ru 2.69
Ru 0.0000 0.0000 0.0000  6 I 2.69
Ba 0.5000 0.5000 0.5000  12 I 3.80

- symmetry = Pm-3m
- total magnetic moment (μB/f.u.) = 0.01
- crystal system = cubic
- density (g cm⁻³) = 6.6
- E_form (uncorrected) (eV/atom) = -0.58



[11]
This record from Alexandria via LeMat-Bulk describes a relaxed BaRu2I crystal. The functional is GGA-PBEsol.

a b c (Å): 4.8657 4.8657 4.8657
angles (deg): 60.00 60.00 60.00
Closest atoms and distances in Å follow each position.
Fractional coordinates of all 4 atoms:
I 0.0000 0.0000 0.0000  8 Ru 2.98
Ru 0.2500 0.2500 0.2500  4 I 2.98, 4 Ba 2.98
Ru 0.7500 0.7500 0.7500  4 Ba 2.98, 4 I 2.98
Ba 0.5000 0.5000 0.5000  8 Ru 2.98

- symmetry = Fm-3m
- total magnetic moment (μB/f.u.) = 0.73
- crystal system = cubic
- density (g cm⁻³) = 9.5
- E_form (uncorrected) (eV/atom) = 0.99



[12]
This record from Alexandria via LeMat-Bulk describes a relaxed BaSbSI2 crystal. The functional is GGA-PBEsol.

a b c (Å): 6.5783 6.5783 6.9732
angles (deg): 90.00 90.00 90.00
Closest atoms and distances in Å follow each position.
Fractional coordinates of all 5 atoms:
I 0.0000 0.5000 0.0000  2 Ba 3.29
I 0.5000 0.0000 0.0000  2 Ba 3.29
Sb 0.0000 0.0000 0.5000  2 Ba 3.49
S 0.5000 0.5000 0.5000  4 Sb 4.65, 8 I 4.79
Ba 0.0000 0.0000 0.0000  4 I 3.29, 2 Sb 3.49

- symmetry = P4/mmm
- total magnetic moment (μB/f.u.) = 4.59
- crystal system = tetragonal
- density (g cm⁻³) = 3.0
- E_form (uncorrected) (eV/atom) = 0.40